This record from Alexandria via LeMat-Bulk describes crystalline TbPm2Dy2Mg5 at its relaxed geometry. The functional is PBE-GGA.

Unit cell a=5.0945 b=10.6140 c=10.6140 alpha=90.00 beta=90.00 gamma=90.00
Element x y z (fractional)
Tb: 0.0000 0.0000 0.0000
Tb: 0.0000 0.5000 0.5000
Pm: 0.0000 0.6765 0.1765
Pm: 0.0000 0.3235 0.8235
Pm: 0.0000 0.1765 0.3235
Pm: 0.0000 0.8235 0.6765
Dy: 0.0000 0.1207 0.6207
Dy: 0.0000 0.8793 0.3793
Dy: 0.0000 0.6207 0.8793
Dy: 0.0000 0.3793 0.1207
Mg: 0.5000 0.1966 0.0740
Mg: 0.5000 0.8034 0.9260
Mg: 0.5000 0.0740 0.8034
Mg: 0.5000 0.6966 0.4260
Mg: 0.5000 0.9260 0.1966
Mg: 0.5000 0.3034 0.5740
Mg: 0.5000 0.5740 0.6966
Mg: 0.5000 0.4260 0.3034
Mg: 0.5000 0.5000 0.0000
Mg: 0.5000 0.0000 0.5000

Computed properties:
As for the crystal system: tetragonal. The calculation puts the total moment at 0.0 μB/f.u. Its formation enthalpy at 0 K is 3.9 kJ/mol of atoms. The calculation puts the energy at -0.11358 Ha/atom.



This record from Alexandria via LeMat-Bulk describes crystalline Pr8InSn2 at its relaxed geometry. The functional is PBE-GGA.

Unit cell a=5.3512 b=7.1153 c=10.3356 alpha=104.53 beta=105.00 gamma=90.00
Element x y z (fractional)
Pr: 0.4073 0.5197 0.8146
Pr: 0.6600 0.9950 0.3199
Pr: 0.7876 0.6797 0.5752
Pr: 0.9850 0.2351 0.9700
Pr: 0.2124 0.3203 0.4248
Pr: 0.3400 0.0050 0.6801
Pr: 0.5927 0.4803 0.1854
Pr: 0.0150 0.7649 0.0300
In: 0.5000 0.0000 0.0000
Sn: 0.8218 0.2510 0.6436
Sn: 0.1782 0.7490 0.3564

Computed properties:
As for the crystal system: monoclinic. The calculation puts the total moment at 0.0 μB/f.u. Its formation enthalpy at 0 K is -33.1 kJ/mol of atoms. The calculation puts the energy at -0.17625 Ha/atom.



This record from Alexandria via LeMat-Bulk describes crystalline CsLiY2As at its relaxed geometry. The functional is PBE-GGA.

Unit cell a=5.4891 b=5.4891 c=7.0589 alpha=90.00 beta=90.00 gamma=90.00
Element x y z (fractional)
Cs: 0.0000 0.0000 0.5000
Y: 0.0000 0.5000 0.0000
Y: 0.5000 0.0000 0.0000
As: 0.0000 0.0000 0.0000
Li: 0.5000 0.5000 0.5000

Computed properties:
As for the crystal system: tetragonal. The calculation puts the total moment at 0.0 μB/f.u. Its formation enthalpy at 0 K is -3.7 kJ/mol of atoms. The calculation puts the energy at -0.15094 Ha/atom.



This record from Alexandria via LeMat-Bulk describes crystalline AsI at its relaxed geometry. The functional is PBE-GGA.

Unit cell a=14.3074 b=14.3074 c=3.9146 alpha=90.00 beta=90.00 gamma=90.00
Element x y z (fractional)
As: 0.3052 0.7303 0.0000
As: 0.6948 0.2697 0.0000
As: 0.2697 0.3052 0.0000
As: 0.7303 0.6948 0.0000
As: 0.8052 0.2303 0.5000
As: 0.1948 0.7697 0.5000
As: 0.7697 0.8052 0.5000
As: 0.2303 0.1948 0.5000
I: 0.4471 0.2664 0.0000
I: 0.5529 0.7336 0.0000
I: 0.7336 0.4471 0.0000
I: 0.2664 0.5529 0.0000
I: 0.9471 0.7664 0.5000
I: 0.0529 0.2336 0.5000
I: 0.2336 0.9471 0.5000
I: 0.7664 0.0529 0.5000

Computed properties:
As for the crystal system: tetragonal. The calculation puts the total moment at 0.0 μB/f.u. For the uncorrected formation energy, the calculation gives -28 meV per atom. The calculation puts the energy at -0.11495 Ha/atom.



This record from Alexandria via LeMat-Bulk describes crystalline Li3Y5Bi12 at its relaxed geometry. The functional is PBE-GGA.

Unit cell a=15.4687 b=15.4687 c=15.4687 alpha=109.47 beta=109.47 gamma=109.47
Element x y z (fractional)
Li: 0.7500 0.3750 0.1250
Li: 0.8750 0.7500 0.1250
Li: 0.3750 0.7500 0.6250
Li: 0.2500 0.1250 0.3750
Li: 0.8750 0.1250 0.2500
Li: 0.3750 0.6250 0.2500
Li: 0.6250 0.3750 0.7500
Li: 0.1250 0.8750 0.7500
Li: 0.7500 0.8750 0.6250
Li: 0.6250 0.2500 0.3750
Li: 0.1250 0.2500 0.8750
Li: 0.2500 0.6250 0.8750
Y: 0.1250 0.3750 0.2500
Y: 0.0000 0.5000 0.0000
Y: 0.0000 0.0000 0.0000
Y: 0.3750 0.2500 0.1250
Y: 0.5000 0.0000 0.5000
Y: 0.5000 0.5000 0.0000
Y: 0.1250 0.7500 0.3750
Y: 0.7500 0.1250 0.8750
Y: 0.7500 0.6250 0.3750
Y: 0.3750 0.1250 0.7500
Y: 0.6250 0.8750 0.2500
Y: 0.5000 0.5000 0.5000
Y: 0.5000 0.0000 0.0000
Y: 0.0000 0.0000 0.5000
Y: 0.2500 0.3750 0.6250
Y: 0.2500 0.8750 0.1250
Y: 0.0000 0.5000 0.5000
Y: 0.8750 0.2500 0.6250
Y: 0.6250 0.7500 0.8750
Y: 0.8750 0.6250 0.7500
Bi: 0.7488 0.1230 0.0745
Bi: 0.3257 0.5745 0.4515
Bi: 0.9255 0.3770 0.2512
Bi: 0.5745 0.2488 0.1230
Bi: 0.6258 0.7488 0.6743
Bi: 0.9255 0.5485 0.1743
Bi: 0.3257 0.7512 0.3742
Bi: 0.0485 0.8742 0.1230
Bi: 0.5485 0.9255 0.6743
Bi: 0.7488 0.6258 0.1743
Bi: 0.7512 0.4255 0.3770
Bi: 0.8257 0.9515 0.0745
Bi: 0.1230 0.7488 0.5745
Bi: 0.3770 0.4515 0.1258
Bi: 0.1258 0.9515 0.3770
Bi: 0.3742 0.1230 0.5485
Bi: 0.1258 0.1743 0.2488
Bi: 0.4255 0.6743 0.0485
Bi: 0.8257 0.8742 0.2512
Bi: 0.1230 0.3742 0.0485
Bi: 0.3770 0.9255 0.7512
Bi: 0.5485 0.6230 0.3742
Bi: 0.9515 0.8257 0.5745
Bi: 0.7512 0.3257 0.8742
Bi: 0.4515 0.3770 0.6258
Bi: 0.0485 0.1743 0.4255
Bi: 0.2488 0.6743 0.1258
Bi: 0.1743 0.1258 0.7488
Bi: 0.6230 0.0745 0.2488
Bi: 0.8770 0.6258 0.9515
Bi: 0.5745 0.3257 0.9515
Bi: 0.6258 0.8770 0.4515
Bi: 0.8742 0.8257 0.7512
Bi: 0.8742 0.0485 0.6230
Bi: 0.8770 0.2512 0.4255
Bi: 0.1743 0.0485 0.9255
Bi: 0.6230 0.5485 0.8742
Bi: 0.4515 0.0745 0.3257
Bi: 0.2512 0.3742 0.8257
Bi: 0.2488 0.5745 0.6230
Bi: 0.9515 0.1258 0.8770
Bi: 0.6743 0.2488 0.6258
Bi: 0.4255 0.7512 0.8770
Bi: 0.0745 0.4515 0.8257
Bi: 0.3742 0.2512 0.3257
Bi: 0.0745 0.6230 0.7488
Bi: 0.6743 0.4255 0.5485
Bi: 0.2512 0.8770 0.9255

Computed properties:
As for the crystal system: cubic. The calculation puts the total moment at 0.0 μB/f.u. Its formation enthalpy at 0 K is -14.0 kJ/mol of atoms. The calculation puts the energy at -0.16084 Ha/atom.



This record from Alexandria via LeMat-Bulk describes crystalline LiHf3Ag at its relaxed geometry. The functional is PBE-GGA.

Unit cell a=5.1496 b=5.1496 c=5.1496 alpha=90.00 beta=90.00 gamma=90.00
Each line ends with the local moment (μB).
Element x y z (fractional)
Hf: 0.0000 0.5000 0.0000  0.24
Hf: 0.0000 0.0000 0.5000  0.15
Hf: 0.5000 0.0000 0.0000  0.37
Ag: 0.0000 0.0000 0.0000  0.05
Li: 0.5000 0.5000 0.5000  0.03

Computed properties:
As for the crystal system: cubic. The calculation puts the total moment at 1.7 μB/f.u. The value obtained for the relative energy among the computed polymorphs is 281.3 meV per atom. Its formation enthalpy at 0 K is 109.5 kJ/mol of atoms. The calculation puts the energy at -0.21280 Ha/atom.



This record from Alexandria via LeMat-Bulk describes crystalline ZnAgAs at its relaxed geometry. The functional is PBE-GGA.

Unit cell a=5.0173 b=5.0173 c=5.0173 alpha=145.38 beta=131.13 gamma=61.27
Element x y z (fractional)
Ag: 0.0032 0.0032 0.0000
As: 0.3324 0.3324 0.0000
Zn: 0.6645 0.6645 0.0000

Computed properties:
As for the crystal system: orthorhombic. The calculation puts the total moment at 0.0 μB/f.u. Its formation enthalpy at 0 K is 13.1 kJ/mol of atoms. The calculation puts the energy at -0.10251 Ha/atom.



This record from Alexandria via LeMat-Bulk describes crystalline PmInTeSe at its relaxed geometry. The functional is PBE-GGA.

Unit cell a=4.3597 b=4.3595 c=8.5369 alpha=90.00 beta=104.80 gamma=119.99
Element x y z (fractional)
Pm: 0.3158 0.5559 0.8868
In: 0.9711 0.3835 0.3701
Te: 0.4866 0.1413 0.6430
Se: 0.1044 0.9502 0.0697

Computed properties:
As for the crystal system: trigonal. The calculation puts the total moment at 0.0 μB/f.u. For the uncorrected formation energy, the calculation gives -1121 meV per atom. The calculation puts the energy at -0.17088 Ha/atom.



This record from Alexandria via LeMat-Bulk describes crystalline KMnBr2 at its relaxed geometry. The functional is PBE-GGA.

Unit cell a=4.2477 b=4.2477 c=7.5650 alpha=73.76 beta=73.76 gamma=60.51
Each line ends with the local moment (μB).
Element x y z (fractional)
Br: 0.9838 0.9838 0.0537  0.03
Br: 0.5162 0.5162 0.4463  0.03
K: 0.7500 0.7500 0.7500  0.00
Mn: 0.2500 0.2500 0.2500  3.90

Computed properties:
As for the crystal system: monoclinic. The calculation puts the total moment at 4.2 μB/f.u. For the uncorrected formation energy, the calculation gives -666 meV per atom. The value obtained for the relative energy among the computed polymorphs is 84.3 meV per atom. The calculation puts the energy at -0.14956 Ha/atom.



This record from Alexandria via LeMat-Bulk describes crystalline K2TmTeS4 at its relaxed geometry. The functional is PBE-GGA.

Unit cell a=8.2106 b=8.2106 c=8.1502 alpha=116.56 beta=116.56 gamma=90.01
Element x y z (fractional)
K: 0.5000 0.0000 0.0000
K: 0.5000 0.0000 0.5000
K: 0.0000 0.0000 0.5000
K: 0.5000 0.5000 0.0000
Tm: 0.0000 0.5000 0.0000
Tm: 0.0000 0.5000 0.5000
Te: 0.5000 0.5000 0.5000
Te: 0.0000 0.0000 0.0000
S: 0.1903 0.7246 0.9388
S: 0.7754 0.3097 0.5612
S: 0.2246 0.6903 0.4388
S: 0.8097 0.2754 0.0612
S: 0.7954 0.7617 0.0115
S: 0.7383 0.7046 0.4885
S: 0.2617 0.2954 0.5115
S: 0.2046 0.2383 0.9885

Computed properties:
As for the crystal system: monoclinic. The calculation puts the total moment at 0.0 μB/f.u. For the uncorrected formation energy, the calculation gives -1116 meV per atom. The calculation puts the energy at -0.16190 Ha/atom.



This record from Alexandria via LeMat-Bulk describes crystalline Er5Tm4Sc at its relaxed geometry. The functional is PBE-GGA.

Unit cell a=5.6602 b=7.9122 c=7.9122 alpha=82.65 beta=69.04 gamma=69.04
Element x y z (fractional)
Er: 0.7703 0.3740 0.0000
Er: 0.1443 0.0000 0.6260
Er: 0.7703 0.0000 0.3740
Er: 0.1444 0.6260 0.0000
Er: 0.6761 0.0000 0.0000
Tm: 0.4493 0.3229 0.6771
Tm: 0.7722 0.6771 0.6771
Tm: 0.1264 0.3229 0.3229
Tm: 0.4493 0.6771 0.3229
Sc: 0.2076 0.0000 0.0000

Computed properties:
As for the crystal system: tetragonal. The calculation puts the total moment at 0.0 μB/f.u. The value obtained for the relative energy among the computed polymorphs is 215.1 meV per atom. Its formation enthalpy at 0 K is 24.0 kJ/mol of atoms. The calculation puts the energy at -0.16370 Ha/atom.



This record from Alexandria via LeMat-Bulk describes crystalline NaEr2Ir at its relaxed geometry. The functional is PBE-GGA.

Unit cell a=4.0072 b=4.0072 c=10.4976 alpha=79.00 beta=79.00 gamma=60.00
Element x y z (fractional)
Na: 0.0000 0.0000 0.0000
Ir: 0.5000 0.5000 0.5000
Er: 0.1202 0.1202 0.6395
Er: 0.8798 0.8798 0.3605

Computed properties:
As for the crystal system: trigonal. The calculation puts the total moment at 0.0 μB/f.u. The value obtained for the relative energy among the computed polymorphs is 79.7 meV per atom. Its formation enthalpy at 0 K is -32.1 kJ/mol of atoms. The calculation puts the energy at -0.18958 Ha/atom.